1.
DFT (meta-GGA SCAN) results for SrLa2Zn at its PBEsol-relaxed geometry.

```
4
Lattice="-3.890 2.573 -1.411 -2.886 -2.930 2.612 3.935 3.187 3.378" Properties=species:S:1:pos:R:3 pbc="T T T"
Zn 0.000 0.000 0.000
La -1.170 0.039 3.295
La -1.671 2.791 1.284
Sr -3.388 -0.179 0.601
```

Output
crystal system = tetragonal

---

2.
DFT (meta-GGA SCAN) results for Sr2LaZn2 at its PBEsol-relaxed geometry.

```
10
Lattice="-1.976 1.384 4.635 4.773 -4.912 3.501 5.284 5.557 0.593" Properties=species:S:1:pos:R:3 pbc="T T T"
Zn 3.552 -2.381 2.225
Zn 2.583 1.565 0.634
Zn 6.505 3.027 1.869
Zn 7.474 -0.920 3.460
Sr 6.594 1.976 5.166
Sr 3.400 3.582 3.325
Sr 4.681 -1.553 5.404
Sr 1.487 0.053 3.563
La 0.000 0.000 0.000
La 5.028 0.323 2.047
```

Output
crystal system = tetragonal

---

3.
DFT (meta-GGA SCAN) results for SrLaZn at its PBEsol-relaxed geometry.

```
3
Lattice="5.235 0.000 0.000 2.617 4.533 0.000 2.617 1.511 4.274" Properties=species:S:1:pos:R:3 pbc="T T T"
Zn 2.617 1.511 1.069
La 0.000 0.000 0.000
Sr 5.235 3.022 2.137
```

Output
ΔE to the lowest computed polymorph = 163.3 meV per atom
crystal system = cubic

---

4.
DFT (meta-GGA SCAN) results for SrLa2Zn at its PBEsol-relaxed geometry.

```
4
Lattice="-2.868 2.204 1.014 -3.166 -4.548 0.930 1.840 -0.150 5.531" Properties=species:S:1:pos:R:3 pbc="T T T"
La 0.000 0.000 0.000
La -3.017 -1.172 0.972
Zn -0.663 -2.349 3.230
Sr -0.514 1.027 3.272
```

Output
crystal system = orthorhombic

---

no.,ΔE_f (kJ/mol of formula units)
1,33
2,-80
3,-4
4,42